No. 1
## Ba2HoIn3Hg12 (PBE)

Data for crystalline Ba2HoIn3Hg12 at its relaxed geometry.

- total magnetization (μB/atom) = 0.000
- energy of formation from the pure elements (meV per atom) = -170

a = 6.9722 Å, b = 6.9722 Å, c = 39.2150 Å
α = 90.00°, β = 90.00°, γ = 120.00°
Closest atoms and distances in Å follow each position.
Space group R-3m (No. 166, hexagonal axes)
Symmetry-distinct sites (fractional):
Ba1 0.0000 0.0000 0.1388 x6  12 Hg 3.64-3.77
Ho1 0.0000 0.0000 0.5000 x3  6 Hg 3.00
In1 0.0000 0.5000 0.0000 x9  4 Hg 3.03
Hg1 0.0135 0.5068 0.8880 x18  1 Ho 3.00, 4 Hg 3.06-3.34
Hg2 0.0351 0.5176 0.6116 x18  2 In 3.03, 4 Hg 3.06-3.12


No. 2
## Ba4Pt2O (PBE)

Data for crystalline Ba4Pt2O at its relaxed geometry.

- total magnetization (μB/atom) = 0.000
- total energy (hartree per atom) = -0.1698

a = 5.2436 Å, b = 5.2436 Å, c = 16.4990 Å
α = 90.00°, β = 90.00°, γ = 90.00°
Closest atoms and distances in Å follow each position.
Space group I4/mmm (No. 139)
Symmetry-distinct sites (fractional):
Ba1 0.0000 0.0000 0.1789 x4  1 O 2.95, 1 Pt 3.14
Ba2 0.0000 0.5000 0.0000 x4  2 O 2.62
Pt1 0.0000 0.0000 0.3691 x4  5 Ba 3.14-3.40
O1 0.0000 0.0000 0.0000 x2  4 Ba 2.62


No. 3
## Er2AsO5 (PBE)

Data for crystalline Er2AsO5 at its relaxed geometry.

- total magnetization (μB/atom) = 0.000
- total energy (hartree per atom) = -0.2755

a = 7.5347 Å, b = 3.6550 Å, c = 15.3310 Å
α = 90.00°, β = 90.00°, γ = 90.00°
Closest atoms and distances in Å follow each position.
Space group Pnma (No. 62)
Symmetry-distinct sites (fractional):
Er1 0.1272 0.2500 0.2393 x4  6 O 2.23-2.32
Er2 0.1392 0.2500 0.5776 x4  6 O 2.28-2.36
As1 0.1484 0.2500 0.9177 x4  4 O 1.79-1.96
O1 0.0866 0.7500 0.1520 x4  1 As 2.07, 2 Er 2.29
O2 0.1079 0.7500 0.6721 x4  4 Er 2.23-2.34
O3 0.1210 0.7500 0.9479 x4  2 As 1.90
O4 0.1351 0.7500 0.4886 x4  1 As 1.96
O5 0.2241 0.7500 0.3192 x4  1 As 1.79


No. 4
## Pu2GaCuSe5 (PBE)

Data for crystalline Pu2GaCuSe5 at its relaxed geometry.

- total magnetization (μB/atom) = 1.111
- total energy (hartree per atom) = -0.2525

a = 4.0386 Å, b = 17.8399 Å, c = 11.6369 Å
α = 90.00°, β = 90.00°, γ = 90.00°
Closest atoms and distances in Å follow each position.
Space group Cmc2_1 (No. 36)
Symmetry-distinct sites (fractional):
Pu1 0.0000 0.1126 0.0000 x4  7 Se 2.97-3.05, 2 Cu 3.16
Pu2 0.0000 0.1188 0.6261 x4  8 Se 3.00-3.34, 1 Cu 3.27
Ga1 0.0000 0.4083 0.7915 x4  5 Se 2.47-2.68
Cu1 0.0000 0.2569 0.4410 x4  4 Se 2.37-2.58
Se1 0.0000 0.0394 0.3871 x4  2 Ga 2.49
Se2 0.0000 0.3051 0.6500 x4  1 Ga 2.47, 1 Cu 2.58
Se3 0.0000 0.3114 0.9680 x4  2 Cu 2.38
Se4 0.0000 0.3626 0.3172 x4  1 Cu 2.37
Se5 0.0000 0.4934 0.6094 x4  1 Ga 2.61


No. 5
## InCoSi (PBE)

Data for crystalline InCoSi at its relaxed geometry.

- total magnetization (μB/atom) = 0.000
- total energy (hartree per atom) = -0.1832

a = 3.0477 Å, b = 3.0477 Å, c = 6.0041 Å
α = 90.00°, β = 90.00°, γ = 120.00°
Closest atoms and distances in Å follow each position.
Space group P3m1 (No. 156)
Symmetry-distinct sites (fractional):
In1 0.0000 0.0000 0.0000 x1  3 Co 2.73, 3 Si 3.04, 6 In 3.05
Co1 0.3333 0.6667 0.6531 x1  3 Si 2.27
Si1 0.6667 0.3333 0.4137 x1  3 Co 2.27


No. 6
## LiPu2CuO8 (PBE)

Data for crystalline LiPu2CuO8 at its relaxed geometry.

- total magnetization (μB/atom) = 0.242
- total energy (hartree per atom) = -0.3019

a = 6.4822 Å, b = 6.6046 Å, c = 6.9150 Å
α = 90.00°, β = 90.00°, γ = 90.00°
Closest atoms and distances in Å follow each position.
Space group Cmmm (No. 65)
Symmetry-distinct sites (fractional):
Li1 0.0000 0.0000 0.0000 x2  2 O 2.00
Pu1 0.0000 0.5000 0.2484 x4  2 O 1.87
Cu1 0.0000 0.0000 0.5000 x2  2 O 1.93
O1 0.0000 0.2166 0.2514 x8  1 Pu 1.87
O2 0.1914 0.5000 0.0000 x4  1 Li 2.00, 2 Pu 2.12
O3 0.2020 0.5000 0.5000 x4  1 Cu 1.93


No. 7
## HfMn2CuAg (PBE)

Data for crystalline HfMn2CuAg at its relaxed geometry.

- total magnetization (μB/atom) = 1.106
- energy of formation from the pure elements (meV per atom) = 1346

a = 4.6932 Å, b = 4.6932 Å, c = 4.8464 Å
α = 90.00°, β = 90.00°, γ = 90.00°
Closest atoms and distances in Å follow each position.
Space group P4/mmm (No. 123)
Symmetry-distinct sites (fractional):
Hf1 0.0000 0.0000 0.0000 x1  4 Mn 2.35, 2 Cu 2.42
Mn1 0.0000 0.5000 0.0000 x2  2 Hf 2.35
Cu1 0.0000 0.0000 0.5000 x1  2 Hf 2.42
Ag1 0.5000 0.5000 0.5000 x1  4 Cu 3.32, 8 Mn 3.37


No. 8
## SrAgHg2Bi (PBE)

Data for crystalline SrAgHg2Bi at its relaxed geometry.

- total magnetization (μB/atom) = 0.000
- energy of formation from the pure elements (meV per atom) = -140

a = 5.3346 Å, b = 5.3346 Å, c = 5.7856 Å
α = 90.00°, β = 90.00°, γ = 90.00°
Closest atoms and distances in Å follow each position.
Space group P4/mmm (No. 123)
Symmetry-distinct sites (fractional):
Sr1 0.0000 0.0000 0.0000 x1  4 Bi 3.77, 8 Hg 3.93
Ag1 0.5000 0.5000 0.5000 x1  4 Hg 2.67, 2 Bi 2.89
Hg1 0.0000 0.5000 0.5000 x2  2 Ag 2.67
Bi1 0.5000 0.5000 0.0000 x1  2 Ag 2.89